No. 1
The following is a PBE calculation of a relaxed SiW2I4 crystal, from Alexandria via LeMat-Bulk.

The structure in CIF format:
```
data_SiW2I4
_cell_length_a 5.7418
_cell_length_b 5.7418
_cell_length_c 13.8157
_cell_angle_alpha 90.00
_cell_angle_beta 90.00
_cell_angle_gamma 90.00
_space_group_name_H-M_alt 'I 4/m m m'
_space_group_IT_number 139
_space_group_name_Hall '-I 4 2'
loop_
_atom_site_label
_atom_site_type_symbol
_atom_site_fract_x
_atom_site_fract_y
_atom_site_fract_z
Si1 Si 0.0000 0.0000 0.0000
W1 W 0.0000 0.0000 0.4200
I1 I 0.0000 0.0000 0.2049
I2 I 0.0000 0.5000 0.0000
```

Properties
Volume = 455 Å³/cell
Energy = -4.23 eV per atom
N(E_F) = 11.08 states/eV per cell

---

No. 2
The following is a PBE calculation of a relaxed SiW2I crystal, from Alexandria via LeMat-Bulk.

The structure in CIF format:
```
data_SiW2I
_cell_length_a 6.4184
_cell_length_b 6.4184
_cell_length_c 6.4184
_cell_angle_alpha 90.00
_cell_angle_beta 90.00
_cell_angle_gamma 90.00
_space_group_name_H-M_alt 'F m -3 m'
_space_group_IT_number 225
_space_group_name_Hall '-F 4 2 3'
loop_
_atom_site_label
_atom_site_type_symbol
_atom_site_fract_x
_atom_site_fract_y
_atom_site_fract_z
Si1 Si 0.0000 0.0000 0.0000
W1 W 0.2500 0.2500 0.2500
I1 I 0.0000 0.0000 0.5000
```

Properties
E above lowest polymorph = 0.00 eV per formula unit
Volume = 264 Å³/cell
Energy = -7.28 eV per atom
N(E_F) = 13.96 states/eV per cell

---

No. 3
The following is a PBE calculation of a relaxed Y4Si2I3 crystal, from Alexandria via LeMat-Bulk.

The structure in CIF format:
```
data_Y4Si2I3
_cell_length_a 7.3048
_cell_length_b 4.2178
_cell_length_c 18.7034
_cell_angle_alpha 90.00
_cell_angle_beta 90.05
_cell_angle_gamma 90.00
_space_group_name_H-M_alt 'C 1 2/m 1'
_space_group_IT_number 12
_space_group_name_Hall '-C 2y'
loop_
_atom_site_label
_atom_site_type_symbol
_atom_site_fract_x
_atom_site_fract_y
_atom_site_fract_z
Y1 Y 0.0006 0.0000 0.2821
Y2 Y 0.1663 0.5000 0.8773
Si1 Si 0.1671 0.5000 0.1981
I1 I 0.0000 0.0000 0.0000
I2 I 0.1659 0.5000 0.6103
```

Properties
Volume = 576 Å³/cell
Energy = -5.65 eV per atom
N(E_F) = 6.09 states/eV per cell

---

No. 4
The following is a PBE calculation of a relaxed Y3SiI crystal, from Alexandria via LeMat-Bulk.

The structure in CIF format:
```
data_Y3SiI
_cell_length_a 5.4618
_cell_length_b 5.4618
_cell_length_c 5.4618
_cell_angle_alpha 90.00
_cell_angle_beta 90.00
_cell_angle_gamma 90.00
_space_group_name_H-M_alt 'P m -3 m'
_space_group_IT_number 221
_space_group_name_Hall '-P 4 2 3'
loop_
_atom_site_label
_atom_site_type_symbol
_atom_site_fract_x
_atom_site_fract_y
_atom_site_fract_z
Y1 Y 0.0000 0.0000 0.5000
Si1 Si 0.0000 0.0000 0.0000
I1 I 0.5000 0.5000 0.5000
```

Properties
E above lowest polymorph = 0.00 eV per formula unit
Volume = 163 Å³/cell
Energy = -5.45 eV per atom
N(E_F) = 7.48 states/eV per cell

---

No. 5
The following is a PBE calculation of a relaxed Y4SiI5 crystal, from Alexandria via LeMat-Bulk.

The structure in CIF format:
```
data_Y4SiI5
_cell_length_a 19.1345
_cell_length_b 4.1987
_cell_length_c 8.8131
_cell_angle_alpha 90.00
_cell_angle_beta 102.68
_cell_angle_gamma 90.00
_space_group_name_H-M_alt 'C 1 2/m 1'
_space_group_IT_number 12
_space_group_name_Hall '-C 2y'
loop_
_atom_site_label
_atom_site_type_symbol
_atom_site_fract_x
_atom_site_fract_y
_atom_site_fract_z
Y1 Y 0.0000 0.0000 0.2089
Y2 Y 0.1449 0.5000 0.0731
Si1 Si 0.0000 0.5000 0.0000
I1 I 0.0000 0.5000 0.5000
I2 I 0.1663 0.0000 0.3362
I3 I 0.1719 0.0000 0.8289
```

Properties
E above lowest polymorph = 0.00 eV per formula unit
Volume = 691 Å³/cell
Energy = -5.09 eV per atom
N(E_F) = 8.01 states/eV per cell

---

No. 6
The following is a PBE calculation of a relaxed YSiI3 crystal, from Alexandria via LeMat-Bulk.

The structure in CIF format:
```
data_YSiI3
_cell_length_a 6.0151
_cell_length_b 6.0151
_cell_length_c 6.0151
_cell_angle_alpha 90.00
_cell_angle_beta 90.00
_cell_angle_gamma 90.00
_space_group_name_H-M_alt 'P m -3 m'
_space_group_IT_number 221
_space_group_name_Hall '-P 4 2 3'
loop_
_atom_site_label
_atom_site_type_symbol
_atom_site_fract_x
_atom_site_fract_y
_atom_site_fract_z
Y1 Y 0.0000 0.0000 0.0000
Si1 Si 0.5000 0.5000 0.5000
I1 I 0.0000 0.0000 0.5000
```

Properties
E above lowest polymorph = 0.00 eV per formula unit
Volume = 218 Å³/cell
Energy = -3.46 eV per atom
N(E_F) = 14.53 states/eV per cell

---

- Which of these has the highest volume?
  Y4SiI5